No. 1
First-principles (GGA-PBE) data for crystalline SrRhAu at its relaxed geometry, as listed in Alexandria.

Cell: 4.812 4.812 4.812 Å, 60.00 60.00 60.00°
Sites, in units of the cell vectors:
Au 0.000 0.000 0.000
Rh 0.500 0.500 0.500
Sr 0.750 0.750 0.750

Summary:
Magnetization, μB/f.u.: 0.00
DOS(E_F), states/eV per cell: 1.31
Space group: F-43m (216)
ΔE to the lowest computed polymorph, eV per atom: 0.768
Energy relative to the elements, kJ per mole of atoms: 39.0

---

No. 2
First-principles (GGA-PBE) data for crystalline Dy5Y3Th at its relaxed geometry, as listed in Alexandria.

Cell: 8.880 8.880 9.715 Å, 117.20 117.20 90.00°
Sites, in units of the cell vectors:
Dy 0.072 0.572 0.730
Dy 0.658 0.158 0.730
Dy 0.158 0.072 0.730
Dy 0.572 0.658 0.730
Dy 0.928 0.428 0.270
Dy 0.342 0.842 0.270
Dy 0.842 0.928 0.270
Dy 0.428 0.342 0.270
Dy 0.500 0.500 0.000
Dy 0.000 0.000 0.000
Y 0.614 0.114 0.000
Y 0.386 0.886 0.000
Y 0.886 0.614 0.000
Y 0.114 0.386 0.000
Y 0.250 0.250 0.500
Y 0.750 0.750 0.500
Th 0.750 0.250 0.500
Th 0.250 0.750 0.500

Summary:
Magnetization, μB/f.u.: 0.00
DOS(E_F), states/eV per cell: 25.82
Space group: I4/mcm (140)
Energy relative to the elements, kJ per mole of atoms: 31.8

---

No. 3
First-principles (GGA-PBE) data for crystalline LaCrC3 at its relaxed geometry, as listed in Alexandria.

Cell: 3.923 3.923 3.923 Å, 90.00 90.00 90.00°
Sites, in units of the cell vectors:
Cr 0.000 0.000 0.000
C 0.000 0.500 0.000
C 0.000 0.000 0.500
C 0.500 0.000 0.000
La 0.500 0.500 0.500

Summary:
Magnetization, μB/f.u.: 0.00
DOS(E_F), states/eV per cell: 3.39
Space group: Pm-3m (221)
ΔE to the lowest computed polymorph, eV per atom: 0.000
Energy relative to the elements, kJ per mole of atoms: 58.1

---

No. 4
First-principles (GGA-PBE) data for crystalline Sr4PmTl5 at its relaxed geometry, as listed in Alexandria.

Cell: 4.040 4.040 20.374 Å, 90.00 90.00 90.00°
Sites, in units of the cell vectors:
Sr 0.000 0.000 0.195
Sr 0.000 0.000 0.398
Sr 0.000 0.000 0.602
Sr 0.000 0.000 0.805
Pm 0.000 0.000 0.000
Tl 0.500 0.500 0.090
Tl 0.500 0.500 0.297
Tl 0.500 0.500 0.500
Tl 0.500 0.500 0.703
Tl 0.500 0.500 0.910

Summary:
Magnetization, μB/f.u.: 0.00
DOS(E_F), states/eV per cell: 6.41
Space group: P4/mmm (123)
Energy relative to the elements, kJ per mole of atoms: -39.9

---

No. 5
First-principles (GGA-PBE) data for crystalline ZnCd6Ag3 at its relaxed geometry, as listed in Alexandria.

Cell: 7.832 7.048 7.601 Å, 90.00 83.85 90.00°
Sites, in units of the cell vectors:
Zn 0.500 0.500 0.500
Zn 0.000 0.000 0.000
Cd 0.653 0.113 0.945
Cd 0.685 0.187 0.570
Cd 0.799 0.373 0.208
Cd 0.201 0.627 0.792
Cd 0.315 0.813 0.430
Cd 0.347 0.887 0.055
Cd 0.153 0.387 0.445
Cd 0.185 0.313 0.070
Cd 0.299 0.127 0.708
Cd 0.701 0.873 0.292
Cd 0.815 0.687 0.930
Cd 0.847 0.613 0.555
Ag 0.543 0.806 0.712
Ag 0.500 0.500 0.000
Ag 0.457 0.194 0.288
Ag 0.043 0.694 0.212
Ag 0.000 0.000 0.500
Ag 0.957 0.306 0.788

Summary:
Magnetization, μB/f.u.: 0.00
DOS(E_F), states/eV per cell: 5.54
Space group: P2_1/c (14)
ΔE to the lowest computed polymorph, eV per atom: 0.058
Energy relative to the elements, kJ per mole of atoms: 3.4

---

No. 6
First-principles (GGA-PBE) data for crystalline Y4ZrSb at its relaxed geometry, as listed in Alexandria.

Cell: 6.311 6.311 6.311 Å, 60.00 60.00 60.00°
Each line ends with the local moment (μB).
Sites, in units of the cell vectors:
Y 0.870 0.377 0.377  0.07
Y 0.377 0.377 0.870  0.07
Y 0.377 0.870 0.377  0.07
Y 0.377 0.377 0.377  0.07
Zr 0.750 0.750 0.750  0.56
Sb 0.000 0.000 0.000  0.00

Summary:
Energy relative to the elements, uncorrected, eV/atom: 0.309
Magnetization, μB/f.u.: 1.50
DOS(E_F), states/eV per cell: 8.91
Space group: F-43m (216)

---

No. 7
First-principles (GGA-PBE) data for crystalline CaTiTc3 at its relaxed geometry, as listed in Alexandria.

Cell: 4.655 4.655 4.655 Å, 90.00 90.00 90.00°
Each line ends with the local moment (μB).
Sites, in units of the cell vectors:
Ca 0.500 0.500 0.500  0.02
Tc 0.000 0.500 0.000  0.75
Tc 0.000 0.000 0.500  0.72
Tc 0.500 0.000 0.000  0.57
Ti 0.000 0.000 0.000  -0.12

Summary:
Magnetization, μB/f.u.: 2.16
DOS(E_F), states/eV per cell: 4.46
Space group: Pm-3m (221)
ΔE to the lowest computed polymorph, eV per atom: 0.000
Energy relative to the elements, kJ per mole of atoms: 93.8

---

No. 8
First-principles (GGA-PBE) data for crystalline TaCrCl2 at its relaxed geometry, as listed in Alexandria.

Cell: 10.911 10.911 10.911 Å, 16.40 16.40 16.40°
Each line ends with the local moment (μB).
Sites, in units of the cell vectors:
Cr 0.250 0.250 0.250  4.14
Cl 0.027 0.027 0.027  0.00
Cl 0.473 0.473 0.473  0.00
Ta 0.750 0.750 0.750  -0.05

Summary:
Energy relative to the elements, uncorrected, eV/atom: 0.010
Magnetization, μB/f.u.: 4.85
DOS(E_F), states/eV per cell: 1.50
Space group: R-3m (166)
ΔE to the lowest computed polymorph, eV per atom: 0.406

---

No. 9
First-principles (GGA-PBE) data for crystalline NaNiHgPb2 at its relaxed geometry, as listed in Alexandria.

Cell: 5.152 5.152 5.169 Å, 90.00 90.00 90.00°
Sites, in units of the cell vectors:
Pb 0.000 0.500 0.000
Pb 0.500 0.000 0.000
Ni 0.000 0.000 0.000
Hg 0.000 0.000 0.500
Na 0.500 0.500 0.500

Summary:
Magnetization, μB/f.u.: 0.00
DOS(E_F), states/eV per cell: 2.60
Space group: P4/mmm (123)
ΔE to the lowest computed polymorph, eV per atom: 0.000
Energy relative to the elements, kJ per mole of atoms: 3.2

---

No. 10
First-principles (GGA-PBE) data for crystalline URuRhO6 at its relaxed geometry, as listed in Alexandria.

Cell: 5.182 5.182 9.206 Å, 90.00 90.00 120.00°
Each line ends with the local moment (μB).
Sites, in units of the cell vectors:
U 0.667 0.333 0.250  0.04
U 0.333 0.667 0.750  0.04
Ru 0.000 0.000 0.000  0.77
Ru 0.000 0.000 0.500  0.77
Rh 0.333 0.667 0.250  -0.02
Rh 0.667 0.333 0.750  -0.02
O 0.673 0.678 0.124  0.03
O 0.005 0.327 0.124  0.03
O 0.327 0.005 0.624  0.03
O 0.995 0.673 0.876  0.03
O 0.322 0.327 0.376  0.03
O 0.005 0.678 0.376  0.03
O 0.678 0.005 0.876  0.03
O 0.673 0.995 0.376  0.03
O 0.995 0.322 0.624  0.03
O 0.322 0.995 0.124  0.03
O 0.678 0.673 0.624  0.03
O 0.327 0.322 0.876  0.03

Summary:
Energy relative to the elements, uncorrected, eV/atom: -1.768
Magnetization, μB/f.u.: 1.02
DOS(E_F), states/eV per cell: 5.28
Space group: P-31c (163)

---

Number 1: mass density 8.169 g/cm³. Number 2: mass density 7.449 g/cm³. Number 3: mass density 6.243 g/cm³. Number 4: mass density 7.579 g/cm³. Number 5: mass density 8.466 g/cm³. Number 6: mass density 5.311 g/cm³. Number 7: mass density 6.289 g/cm³. Number 8: mass density 5.587 g/cm³. Number 9: mass density 8.432 g/cm³. Number 10: mass density 8.348 g/cm³.